# 1
ReSbP2: optimized geometry, PBE.

Cell: 4.6300 4.6300 3.0531 Å, 90.00 90.00 90.00°
Positions (direct):
Re (0.0000, 0.0000, 0.0000)
Sb (0.5000, 0.5000, 0.0000)
P (0.0000, 0.5000, 0.5000)
P (0.5000, 0.0000, 0.5000)

E_form (uncorrected), eV/atom: 0.799
Space group: P4/mmm, No. 123
M_tot, μB per atom: 0.03

# 2
La5Pr2SmTm: optimized geometry, PBE.

Cell: 10.4880 10.4880 10.4880 Å, 130.36 130.36 72.84°
Positions (direct):
La (0.0000, 0.0000, 0.0000)
La (0.0757, 0.5757, 0.9392)
La (0.1366, 0.0757, 0.5000)
La (0.3634, 0.8634, 0.9392)
La (0.4243, 0.3634, 0.5000)
La (0.5000, 0.5000, 0.0000)
La (0.5757, 0.6366, 0.5000)
La (0.6366, 0.1366, 0.0608)
La (0.8634, 0.9243, 0.5000)
La (0.9243, 0.4243, 0.0608)
Pr (0.1211, 0.3789, 0.5000)
Pr (0.3789, 0.8789, 0.2578)
Pr (0.6211, 0.1211, 0.7422)
Pr (0.8789, 0.6211, 0.5000)
Sm (0.2500, 0.2500, 0.0000)
Sm (0.7500, 0.7500, 0.0000)
Tm (0.2500, 0.7500, 0.5000)
Tm (0.7500, 0.2500, 0.5000)

Space group: I4/mcm, No. 140
Formation energy, eV per atom: 0.2632
M_tot, μB per atom: 0.00

# 3
NaAc2Er: optimized geometry, PBE.

Cell: 6.0264 6.0264 6.0264 Å, 60.00 60.00 60.00°
Positions (direct):
Na (0.0000, 0.0000, 0.0000)
Ac (0.2500, 0.2500, 0.2500)
Ac (0.7500, 0.7500, 0.7500)
Er (0.5000, 0.5000, 0.5000)

Space group: Fm-3m, No. 225
Formation energy, eV per atom: 0.1977
M_tot, μB per atom: 0.00

# 4
Zr2ZnTe: optimized geometry, PBE.

Cell: 4.9767 4.9767 3.4657 Å, 90.81 90.81 101.99°
Positions (direct):
Zr (0.0000, 0.5000, 0.0000)
Zr (0.5000, 0.0000, 0.0000)
Zn (0.0000, 0.0000, 0.5000)
Te (0.5000, 0.5000, 0.5000)

E_form (uncorrected), eV/atom: -0.368
Space group: C2/m, No. 12
M_tot, μB per atom: 0.00

# 5
ErTlInPb: optimized geometry, PBE.

Cell: 5.4429 5.4429 5.4429 Å, 60.00 60.00 60.00°
Positions (direct):
Er (0.0000, 0.0000, 0.0000)
Tl (0.7500, 0.7500, 0.7500)
In (0.2500, 0.2500, 0.2500)
Pb (0.5000, 0.5000, 0.5000)

Space group: F-43m, No. 216
Formation energy, eV per atom: -0.0948
M_tot, μB per atom: 0.00

# 6
USi3Pt5: optimized geometry, PBE.

Cell: 6.5572 6.5572 12.9174 Å, 90.00 90.00 145.88°
Positions (direct):
U (0.1513, 0.8487, 0.7500)
U (0.8487, 0.1513, 0.2500)
Si (0.1168, 0.8832, 0.2500)
Si (0.3823, 0.6177, 0.0362)
Si (0.3823, 0.6177, 0.4638)
Si (0.6177, 0.3823, 0.5362)
Si (0.6177, 0.3823, 0.9638)
Si (0.8832, 0.1168, 0.7500)
Pt (0.0000, 0.0000, 0.0000)
Pt (0.0000, 0.0000, 0.5000)
Pt (0.2080, 0.7920, 0.0854)
Pt (0.2080, 0.7920, 0.4146)
Pt (0.4610, 0.5390, 0.6483)
Pt (0.4610, 0.5390, 0.8517)
Pt (0.5390, 0.4610, 0.1483)
Pt (0.5390, 0.4610, 0.3517)
Pt (0.7920, 0.2080, 0.5854)
Pt (0.7920, 0.2080, 0.9146)

E_form (uncorrected), eV/atom: -0.639
Space group: Cmcm, No. 63
M_tot, μB per atom: 0.29

# 7
LaBeW2: optimized geometry, PBE.

Cell: 3.5793 4.3336 5.1726 Å, 90.00 103.93 90.00°
Positions (direct):
La (0.0000, 0.0000, 0.0000)
Be (0.5000, 0.0000, 0.5000)
W (0.3263, 0.5000, 0.6781)
W (0.6737, 0.5000, 0.3219)

Space group: P2/m, No. 10
Formation energy, eV per atom: 0.6595
M_tot, μB per atom: 0.00

# 8
HfTi2Ni: optimized geometry, PBE.

Cell: 5.7614 5.7614 5.7614 Å, 102.71 102.71 124.05°
Positions (direct):
Hf (0.0000, 0.0000, 0.0000)
Hf (0.7500, 0.2500, 0.5000)
Ti (0.1790, 0.6250, 0.0540)
Ti (0.3750, 0.4290, 0.5540)
Ti (0.5710, 0.1250, 0.9460)
Ti (0.8750, 0.8210, 0.4460)
Ni (0.2500, 0.7500, 0.5000)
Ni (0.5000, 0.5000, 0.0000)

Space group: I-42d, No. 122
Formation energy, eV per atom: 0.0704
M_tot, μB per atom: 0.00